(1)
A plane-wave DFT calculation with PBE was carried out for a geometry-optimized LaTm3Hg6 structure.

Cell: 5.172 9.195 11.240 Å, 107.09 90.00 90.00°
Atoms (fractional coordinates):
La1 0.250 0.931 0.617
La2 0.750 0.069 0.383
Tm1 0.250 0.510 0.389
Tm2 0.750 0.490 0.611
Tm3 0.250 0.352 0.811
Tm4 0.750 0.648 0.189
Tm5 0.250 0.767 0.000
Tm6 0.750 0.233 0.000
Hg1 0.250 0.463 0.096
Hg2 0.750 0.537 0.904
Hg3 0.250 0.147 0.210
Hg4 0.750 0.853 0.790
Hg5 0.250 0.635 0.715
Hg6 0.750 0.365 0.285
Hg7 0.250 0.264 0.530
Hg8 0.750 0.736 0.470
Hg9 0.250 0.816 0.305
Hg10 0.750 0.184 0.695
Hg11 0.250 0.062 0.916
Hg12 0.750 0.938 0.084

Values from the calculation:
For the total magnetization, the calculation gives 0.00 μB per formula unit. Its calculated total energy is -2.44 eV/atom.

---

(2)
A plane-wave DFT calculation with PBE was carried out for a geometry-optimized La4TmHg5 structure.

Cell: 3.825 3.825 19.703 Å, 90.00 90.00 90.00°
Site moments in Bohr magnetons follow the coordinates.
Atoms (fractional coordinates):
La1 0.000 0.000 0.193  0.18
La2 0.000 0.000 0.398  0.14
La3 0.000 0.000 0.602  0.14
La4 0.000 0.000 0.807  0.18
Tm1 0.000 0.000 0.000  0.07
Hg1 0.500 0.500 0.086  0.01
Hg2 0.500 0.500 0.296  0.01
Hg3 0.500 0.500 0.500  0.01
Hg4 0.500 0.500 0.704  0.01
Hg5 0.500 0.500 0.914  0.01

Values from the calculation:
For the total magnetization, the calculation gives 1.56 μB per formula unit. Its calculated total energy is -3.06 eV/atom.

---

(3)
A plane-wave DFT calculation with PBE was carried out for a geometry-optimized LaTm4Hg structure.

Cell: 6.302 8.949 8.193 Å, 113.38 99.94 112.84°
Atoms (fractional coordinates):
La1 0.346 0.596 0.192
La2 0.654 0.404 0.808
Tm1 0.029 0.159 0.761
Tm2 0.760 0.714 0.626
Tm3 0.232 0.602 0.761
Tm4 0.366 0.912 0.626
Tm5 0.634 0.088 0.374
Tm6 0.768 0.398 0.239
Tm7 0.240 0.286 0.374
Tm8 0.971 0.841 0.239
Hg1 0.251 0.001 0.001
Hg2 0.749 0.999 0.999

Values from the calculation:
For the total magnetization, the calculation gives 0.00 μB per formula unit. Its calculated total energy is -3.90 eV/atom.

---

(4)
A plane-wave DFT calculation with PBE was carried out for a geometry-optimized La2TmHg8 structure.

Cell: 5.255 7.523 8.673 Å, 115.66 107.64 90.00°
Atoms (fractional coordinates):
La1 0.198 0.698 0.397
La2 0.802 0.302 0.603
Tm1 0.500 0.000 0.000
Hg1 0.636 0.844 0.272
Hg2 0.364 0.572 0.729
Hg3 0.156 0.156 0.311
Hg4 0.000 0.281 0.000
Hg5 0.844 0.844 0.689
Hg6 0.636 0.428 0.271
Hg7 0.364 0.156 0.728
Hg8 0.000 0.719 0.000

Values from the calculation:
For the total magnetization, the calculation gives 0.00 μB per formula unit. Its calculated total energy is -1.88 eV/atom.

---

(5)
A plane-wave DFT calculation with PBE was carried out for a geometry-optimized La2TmHg4 structure.

Cell: 5.585 5.585 8.889 Å, 108.31 108.31 90.00°
Atoms (fractional coordinates):
La1 0.613 0.613 0.225
La2 0.387 0.387 0.775
Tm1 0.000 0.000 0.000
Hg1 0.814 0.814 0.627
Hg2 0.186 0.186 0.373
Hg3 0.000 0.500 0.000
Hg4 0.500 0.000 0.000

Values from the calculation:
For the total magnetization, the calculation gives 0.00 μB per formula unit. The energy above the most stable polymorph in this dataset is 261 meV per atom. Its calculated total energy is -2.33 eV/atom.

---

(6)
A plane-wave DFT calculation with PBE was carried out for a geometry-optimized LaTm2Hg8 structure.

Cell: 5.131 7.357 8.693 Å, 115.03 107.16 90.00°
Atoms (fractional coordinates):
La1 0.500 0.000 0.000
Tm1 0.187 0.687 0.375
Tm2 0.813 0.313 0.625
Hg1 0.658 0.872 0.316
Hg2 0.342 0.556 0.684
Hg3 0.156 0.156 0.311
Hg4 0.000 0.297 0.000
Hg5 0.844 0.844 0.689
Hg6 0.658 0.444 0.316
Hg7 0.342 0.128 0.684
Hg8 0.000 0.703 0.000

Values from the calculation:
For the total magnetization, the calculation gives 0.00 μB per formula unit. Its calculated total energy is -1.78 eV/atom.

---

(7)
A plane-wave DFT calculation with PBE was carried out for a geometry-optimized La2TmHg structure.

Cell: 3.805 3.805 8.874 Å, 90.00 90.00 90.00°
Atoms (fractional coordinates):
Tm1 0.500 0.500 0.500
Hg1 0.500 0.500 0.000
La1 0.000 0.000 0.771
La2 0.000 0.000 0.229

Values from the calculation:
For the total magnetization, the calculation gives 0.00 μB per formula unit. The energy above the most stable polymorph in this dataset is 28 meV per atom. Its calculated total energy is -3.86 eV/atom.

---

(8)
A plane-wave DFT calculation with PBE was carried out for a geometry-optimized La2TmHg3 structure.

Cell: 3.729 3.729 12.089 Å, 90.00 90.00 90.00°
Site moments in Bohr magnetons follow the coordinates.
Atoms (fractional coordinates):
La1 0.500 0.500 0.824  0.13
La2 0.500 0.500 0.176  0.13
Tm1 0.500 0.500 0.500  0.02
Hg1 0.000 0.000 0.000  0.01
Hg2 0.000 0.000 0.642  0.00
Hg3 0.000 0.000 0.358  0.00

Values from the calculation:
For the total magnetization, the calculation gives 0.61 μB per formula unit. Its calculated total energy is -3.03 eV/atom.

---

| no. | energy of formation (eV/atom) |
| --- | --- |
| 1 | -0.43 |
| 2 | -0.49 |
| 3 | -0.04 |
| 4 | -0.36 |
| 5 | -0.11 |
| 6 | -0.30 |
| 7 | -0.21 |
| 8 | -0.49 |